No. 1
Here is a geometry-optimized ZnCuPO2 structure from Alexandria via LeMat-Bulk. Energies are from PBE.

Cell: 3.679 3.679 4.922 Å, 90.00 90.00 90.00°
Sites, in units of the cell vectors:
Zn 0.000 0.000 0.000
Cu 0.500 0.500 0.500
P 0.500 0.500 0.000
O 0.000 0.500 0.500
O 0.500 0.000 0.500

Theoretical density in Mg/m³: 4.78
Total magnetization in μB per atom: 0.12
Energy relative to the elements, uncorrected in kJ/mol of formula units: 103.1
Total energy in eV for the cell shown: -19.63

***

No. 2
Here is a geometry-optimized NaCeGa2Cl6 structure from Alexandria via LeMat-Bulk. Energies are from PBE.

Cell: 7.169 7.708 12.562 Å, 90.00 123.50 90.00°
Sites, in units of the cell vectors:
Na 0.000 0.000 0.000
Na 0.000 0.500 0.500
Ce 0.500 0.000 0.500
Ce 0.500 0.500 0.000
Ga 0.223 0.061 0.743
Ga 0.223 0.439 0.243
Ga 0.777 0.561 0.757
Ga 0.777 0.939 0.257
Cl 0.119 0.179 0.442
Cl 0.119 0.321 0.942
Cl 0.258 0.694 0.430
Cl 0.258 0.806 0.930
Cl 0.393 0.048 0.253
Cl 0.393 0.452 0.753
Cl 0.607 0.548 0.247
Cl 0.607 0.952 0.747
Cl 0.742 0.194 0.070
Cl 0.742 0.306 0.570
Cl 0.881 0.679 0.058
Cl 0.881 0.821 0.558

Theoretical density in Mg/m³: 2.96
Total magnetization in μB per atom: 0.10
Energy relative to the elements, uncorrected in kJ/mol of formula units: -1463.9
Total energy in eV for the cell shown: -79.12

***

No. 3
Here is a geometry-optimized HfNb5Mo4 structure from Alexandria via LeMat-Bulk. Energies are from PBE.

Cell: 3.248 3.248 16.586 Å, 90.00 90.00 90.00°
Sites, in units of the cell vectors:
Hf 0.000 0.000 0.000
Nb 0.500 0.500 0.115
Nb 0.500 0.500 0.306
Nb 0.500 0.500 0.500
Nb 0.500 0.500 0.694
Nb 0.500 0.500 0.885
Mo 0.000 0.000 0.207
Mo 0.000 0.000 0.403
Mo 0.000 0.000 0.597
Mo 0.000 0.000 0.793

Theoretical density in Mg/m³: 9.74
Total magnetization in μB per atom: 0.00
Total energy in eV for the cell shown: -104.58
Formation energy from the elements in eV per atom: -0.10

***

No. 4
Here is a geometry-optimized CdPd2F structure from Alexandria via LeMat-Bulk. Energies are from PBE.

Cell: 10.319 10.319 10.319 Å, 159.41 159.41 29.28°
Sites, in units of the cell vectors:
Cd 0.000 0.000 0.000
Cd 0.750 0.250 0.500
Pd 0.128 0.625 0.003
Pd 0.375 0.378 0.503
Pd 0.622 0.125 0.997
Pd 0.875 0.872 0.497
F 0.250 0.750 0.500
F 0.500 0.500 0.000

Theoretical density in Mg/m³: 8.41
Total magnetization in μB per atom: 0.00
Energy relative to the elements, uncorrected in kJ/mol of formula units: -148.6
Total energy in eV for the cell shown: -29.42

***

No. 5
Here is a geometry-optimized BaAlOs2 structure from Alexandria via LeMat-Bulk. Energies are from PBE.

Cell: 3.218 3.218 7.695 Å, 90.00 90.00 90.00°
Sites, in units of the cell vectors:
Ba 0.000 0.000 0.000
Al 0.000 0.000 0.500
Os 0.500 0.500 0.335
Os 0.500 0.500 0.665

Theoretical density in Mg/m³: 11.35
Total magnetization in μB per atom: 0.00
Total energy in eV for the cell shown: -25.83
Formation energy from the elements in eV per atom: 0.57

***

No. 6
Here is a geometry-optimized CoN structure from Alexandria via LeMat-Bulk. Energies are from PBE.

Cell: 5.213 5.213 5.213 Å, 90.00 90.00 90.00°
Sites, in units of the cell vectors:
Co 0.000 0.250 0.500
Co 0.000 0.750 0.500
Co 0.250 0.500 0.000
Co 0.500 0.000 0.250
Co 0.500 0.000 0.750
Co 0.750 0.500 0.000
N 0.000 0.500 0.250
N 0.000 0.500 0.750
N 0.250 0.000 0.500
N 0.500 0.250 0.000
N 0.500 0.750 0.000
N 0.750 0.000 0.500

Theoretical density in Mg/m³: 5.13
Total magnetization in μB per atom: 0.00
Energy relative to the elements, uncorrected in kJ/mol of formula units: 55.8
Total energy in eV for the cell shown: -89.11

***

No. 7
Here is a geometry-optimized GdFeGe structure from Alexandria via LeMat-Bulk. Energies are from PBE.

Cell: 4.177 4.177 3.871 Å, 90.00 90.00 120.00°
Sites, in units of the cell vectors:
Gd 0.000 0.000 0.000
Fe 0.667 0.333 0.500
Ge 0.333 0.667 0.500

Theoretical density in Mg/m³: 8.11
Total magnetization in μB per atom: 2.89
Total energy in eV for the cell shown: -28.31
Formation energy from the elements in eV per atom: -0.38

***

No. 8
Here is a geometry-optimized Sr2VZnSi structure from Alexandria via LeMat-Bulk. Energies are from PBE.

Cell: 5.772 5.772 4.714 Å, 90.00 90.00 90.00°
Sites, in units of the cell vectors:
Sr 0.000 0.500 0.000
Sr 0.500 0.000 0.000
V 0.000 0.000 0.500
Zn 0.000 0.000 0.000
Si 0.500 0.500 0.500

Theoretical density in Mg/m³: 3.38
Total magnetization in μB per atom: 0.12
Energy relative to the elements, uncorrected in kJ/mol of formula units: 385.4
Total energy in eV for the cell shown: -15.18

***

No. 9
Here is a geometry-optimized Sn3Te4Au structure from Alexandria via LeMat-Bulk. Energies are from PBE.

Cell: 6.226 8.869 10.107 Å, 90.00 90.00 90.00°
Sites, in units of the cell vectors:
Sn 0.250 0.038 0.161
Sn 0.250 0.462 0.161
Sn 0.250 0.750 0.636
Sn 0.750 0.250 0.364
Sn 0.750 0.538 0.839
Sn 0.750 0.962 0.839
Te 0.250 0.250 0.412
Te 0.250 0.509 0.842
Te 0.250 0.750 0.312
Te 0.250 0.991 0.842
Te 0.750 0.009 0.158
Te 0.750 0.250 0.688
Te 0.750 0.491 0.158
Te 0.750 0.750 0.588
Au 0.250 0.250 0.687
Au 0.750 0.750 0.313

Theoretical density in Mg/m³: 6.33
Total magnetization in μB per atom: 0.00
Energy relative to the elements, uncorrected in kJ/mol of formula units: -95.5
Total energy in eV for the cell shown: -57.69

***

No. 10
Here is a geometry-optimized Al4SnRu5 structure from Alexandria via LeMat-Bulk. Energies are from PBE.

Cell: 3.060 3.060 15.185 Å, 90.00 90.00 90.00°
Sites, in units of the cell vectors:
Al 0.000 0.000 0.097
Al 0.000 0.000 0.290
Al 0.000 0.000 0.710
Al 0.000 0.000 0.903
Sn 0.000 0.000 0.500
Ru 0.500 0.500 0.000
Ru 0.500 0.500 0.194
Ru 0.500 0.500 0.391
Ru 0.500 0.500 0.609
Ru 0.500 0.500 0.806

Theoretical density in Mg/m³: 8.55
Total magnetization in μB per atom: 0.00
Total energy in eV for the cell shown: -70.64
Formation energy from the elements in eV per atom: -0.53

***

No. 11
Here is a geometry-optimized TiAlVPd structure from Alexandria via LeMat-Bulk. Energies are from PBE.

Cell: 4.407 4.407 4.407 Å, 60.00 60.00 60.00°
Sites, in units of the cell vectors:
Ti 0.000 0.000 0.000
Al 0.500 0.500 0.500
V 0.750 0.750 0.750
Pd 0.250 0.250 0.250

Theoretical density in Mg/m³: 6.37
Total magnetization in μB per atom: 0.62
Total energy in eV for the cell shown: -27.37
Formation energy from the elements in eV per atom: -0.36

***

No. 12
Here is a geometry-optimized TbPm3C structure from Alexandria via LeMat-Bulk. Energies are from PBE.

Cell: 5.198 5.198 5.198 Å, 90.00 90.00 90.00°
Sites, in units of the cell vectors:
Tb 0.000 0.000 0.000
Pm 0.000 0.500 0.500
Pm 0.500 0.000 0.500
Pm 0.500 0.500 0.000
C 0.500 0.500 0.500

Theoretical density in Mg/m³: 7.16
Total magnetization in μB per atom: 0.00
Total energy in eV for the cell shown: -27.72
Formation energy from the elements in eV per atom: 0.08

***

No. 13
Here is a geometry-optimized BeCoRu2 structure from Alexandria via LeMat-Bulk. Energies are from PBE.

Cell: 2.604 2.604 8.082 Å, 90.00 90.00 115.60°
Sites, in units of the cell vectors:
Be 0.000 0.000 0.000
Co 0.000 0.000 0.500
Ru 0.500 0.500 0.234
Ru 0.500 0.500 0.766

Theoretical density in Mg/m³: 9.07
Total magnetization in μB per atom: 0.70
Total energy in eV for the cell shown: -28.49
Formation energy from the elements in eV per atom: 0.22

***

No. 14
Here is a geometry-optimized CsHg2PdSe structure from Alexandria via LeMat-Bulk. Energies are from PBE.

Cell: 5.409 5.409 5.260 Å, 90.00 90.00 90.00°
Sites, in units of the cell vectors:
Cs 0.000 0.000 0.000
Hg 0.000 0.500 0.500
Hg 0.500 0.000 0.500
Pd 0.500 0.500 0.500
Se 0.500 0.500 0.000

Theoretical density in Mg/m³: 7.76
Total magnetization in μB per atom: 0.00
Energy relative to the elements, uncorrected in kJ/mol of formula units: -178.5
Total energy in eV for the cell shown: -11.98

***

No. 15
Here is a geometry-optimized TbDy6Al2 structure from Alexandria via LeMat-Bulk. Energies are from PBE.

Cell: 6.530 6.530 11.739 Å, 108.06 108.06 32.62°
Sites, in units of the cell vectors:
Tb 0.000 0.000 0.000
Dy 0.021 0.021 0.330
Dy 0.311 0.311 0.413
Dy 0.312 0.312 0.124
Dy 0.688 0.688 0.876
Dy 0.689 0.689 0.587
Dy 0.979 0.979 0.670
Al 0.352 0.352 0.794
Al 0.648 0.648 0.206

Theoretical density in Mg/m³: 7.72
Total magnetization in μB per atom: 0.00
Total energy in eV for the cell shown: -41.22
Formation energy from the elements in eV per atom: -0.17

***

No. 16
Here is a geometry-optimized BaUSb2Au2 structure from Alexandria via LeMat-Bulk. Energies are from PBE.

Cell: 4.684 4.684 8.971 Å, 90.00 90.00 120.00°
Sites, in units of the cell vectors:
Ba 0.000 0.000 0.000
U 0.000 0.000 0.500
Sb 0.333 0.667 0.742
Sb 0.667 0.333 0.258
Au 0.333 0.667 0.329
Au 0.667 0.333 0.671

Theoretical density in Mg/m³: 9.87
Total magnetization in μB per atom: 0.44
Energy relative to the elements, uncorrected in kJ/mol of formula units: -310.2
Total energy in eV for the cell shown: -31.23

***

No. 17
Here is a geometry-optimized Pm6Bi5Pb structure from Alexandria via LeMat-Bulk. Energies are from PBE.

Cell: 7.916 7.916 7.927 Å, 99.60 99.60 120.01°
Sites, in units of the cell vectors:
Pm 0.083 0.416 0.749
Pm 0.249 0.249 0.250
Pm 0.416 0.083 0.749
Pm 0.584 0.917 0.251
Pm 0.751 0.751 0.750
Pm 0.917 0.584 0.251
Bi 0.168 0.832 0.000
Bi 0.334 0.666 0.500
Bi 0.500 0.500 0.000
Bi 0.666 0.334 0.500
Bi 0.832 0.168 0.000
Pb 0.000 0.000 0.500

Theoretical density in Mg/m³: 8.69
Total magnetization in μB per atom: 0.00
Total energy in eV for the cell shown: -61.83
Formation energy from the elements in eV per atom: -0.85

***

No. 18
Here is a geometry-optimized ZnHgBi2 structure from Alexandria via LeMat-Bulk. Energies are from PBE.

Cell: 5.311 5.311 5.311 Å, 60.00 60.00 60.00°
Sites, in units of the cell vectors:
Zn 0.000 0.000 0.000
Hg 0.500 0.500 0.500
Bi 0.250 0.250 0.250
Bi 0.750 0.750 0.750

Theoretical density in Mg/m³: 10.72
Total magnetization in μB per atom: 0.00
Total energy in eV for the cell shown: -8.54
Formation energy from the elements in eV per atom: 0.20

***

No. 19
Here is a geometry-optimized PrThTe2Br structure from Alexandria via LeMat-Bulk. Energies are from PBE.

Cell: 4.475 4.475 15.318 Å, 90.00 90.00 90.00°
Sites, in units of the cell vectors:
Pr 0.250 0.250 0.142
Pr 0.750 0.750 0.858
Th 0.250 0.250 0.583
Th 0.750 0.750 0.417
Te 0.250 0.250 0.370
Te 0.250 0.250 0.794
Te 0.750 0.750 0.206
Te 0.750 0.750 0.630
Br 0.250 0.750 0.000
Br 0.750 0.250 0.000

Theoretical density in Mg/m³: 7.66
Total magnetization in μB per atom: 0.00
Energy relative to the elements, uncorrected in kJ/mol of formula units: -654.9
Total energy in eV for the cell shown: -53.89

***

No. 20
Here is a geometry-optimized LaMoBr2 structure from Alexandria via LeMat-Bulk. Energies are from PBE.

Cell: 6.354 6.354 6.354 Å, 140.81 140.81 56.62°
Sites, in units of the cell vectors:
La 0.000 0.000 0.000
Mo 0.250 0.750 0.500
Br 0.500 0.500 0.000
Br 0.750 0.250 0.500

Theoretical density in Mg/m³: 6.45
Total magnetization in μB per atom: 0.88
Energy relative to the elements, uncorrected in kJ/mol of formula units: -2.2
Total energy in eV for the cell shown: -19.13